a) This record from Alexandria via LeMat-Bulk describes an optimized crystal structure of Cd3PdO. The functional is GGA-PBE.

Geometry as extended XYZ:
```
5
Lattice="-0.148 -1.652 4.226 4.537 -0.013 0.153 -0.044 4.229 1.652" Properties=species:S:1:pos:R:3 pbc="T T T"
O 0.000 0.000 0.000
Pd 2.173 1.282 3.016
Cd 2.269 -0.007 0.077
Cd -0.022 2.114 0.826
Cd -0.074 -0.826 2.113
```

Calculated values
crystal system = cubic
calculated density = 8157 kg/m3
magnetic moment = 0.0 μB/f.u.
calculated volume = 93.57 Å³/cell

b) This record from Alexandria via LeMat-Bulk describes an optimized crystal structure of Cd3PdO. The functional is GGA-PBE.

Geometry as extended XYZ:
```
5
Lattice="-0.953 4.525 2.242 -4.351 -1.894 1.972 2.563 -1.532 4.183" Properties=species:S:1:pos:R:3 pbc="T T T"
O -1.371 0.549 4.198
Pd 0.000 0.000 0.000
Cd -2.176 -0.947 0.986
Cd 1.281 -0.766 2.091
Cd -0.477 2.262 1.121
```

Calculated values
crystal system = cubic
calculated density = 5624 kg/m3
magnetic moment = 0.0 μB/f.u.
calculated volume = 135.72 Å³/cell

Most stable: a)

a) This record from Alexandria via LeMat-Bulk describes an optimized crystal structure of CdPdO. The functional is GGA-PBE.

Geometry as extended XYZ:
```
6
Lattice="3.200 0.000 0.000 0.000 7.535 -1.379 -1.600 -3.827 4.634" Properties=species:S:1:pos:R:3 pbc="T T T"
Pd 0.000 -1.974 3.387
Pd 1.600 5.682 -0.132
Cd 1.600 3.350 1.331
Cd 0.000 0.358 1.924
O 0.000 1.910 0.293
O 1.600 1.798 2.961
```

Calculated values
crystal system = monoclinic
calculated density = 8223 kg/m3
magnetic moment = 0.0 μB/f.u.
calculated volume = 94.84 Å³/cell

b) This record from Alexandria via LeMat-Bulk describes an optimized crystal structure of CdPdO. The functional is GGA-PBE.

Geometry as extended XYZ:
```
3
Lattice="3.195 0.000 0.000 0.000 3.195 0.000 -1.597 -1.597 4.592" Properties=species:S:1:pos:R:3 pbc="T T T"
Pd 1.597 1.597 4.290
O 0.000 0.000 2.041
Cd 1.597 1.597 1.475
```

Calculated values
crystal system = tetragonal
calculated density = 8320 kg/m3
magnetic moment = 0.0 μB/f.u.
calculated volume = 46.87 Å³/cell

Most stable: a)

a) This record from Alexandria via LeMat-Bulk describes an optimized crystal structure of Pm2CdO. The functional is GGA-PBE.

Geometry as extended XYZ:
```
4
Lattice="-0.436 3.499 -1.073 -3.387 1.407 -0.368 -1.127 3.946 6.996" Properties=species:S:1:pos:R:3 pbc="T T T"
Cd -2.475 4.426 2.778
O 0.000 0.000 0.000
Pm -1.249 2.032 0.805
Pm -3.700 6.819 4.751
```

Calculated values
crystal system = trigonal
calculated density = 7546 kg/m3
magnetic moment = 0.0 μB/f.u.
calculated volume = 92.08 Å³/cell

b) This record from Alexandria via LeMat-Bulk describes an optimized crystal structure of Pm2CdO. The functional is GGA-PBE.

Geometry as extended XYZ:
```
16
Lattice="-4.918 -1.231 0.283 1.614 -5.421 4.459 -1.142 6.462 8.270" Properties=species:S:1:pos:R:3 pbc="T T T"
Pm -2.768 -2.425 9.671
Pm -0.540 -2.345 3.178
Pm -1.678 2.235 3.340
Pm -3.905 2.154 9.834
Pm -2.861 -2.965 5.696
Pm -0.846 0.452 10.042
Pm -1.584 2.774 7.316
Pm -3.600 -0.643 2.970
Cd -3.531 0.071 7.279
Cd 0.280 -5.164 5.157
Cd -0.915 -0.262 5.733
Cd -4.725 4.973 7.854
O -2.524 -3.819 7.848
O -1.427 2.685 9.656
O -1.922 3.628 5.164
O -3.018 -2.876 3.356
```

Calculated values
crystal system = orthorhombic
calculated density = 7199 kg/m3
magnetic moment = 0.0 μB/f.u.
calculated volume = 386.06 Å³/cell

Most stable: b)

a) This record from Alexandria via LeMat-Bulk describes an optimized crystal structure of PrCdO. The functional is GGA-PBE.

Geometry as extended XYZ:
```
6
Lattice="-2.910 0.806 1.660 0.250 -2.899 1.846 5.394 4.953 7.049" Properties=species:S:1:pos:R:3 pbc="T T T"
Cd 3.308 1.473 5.082
Cd 0.756 2.434 3.720
Pr 0.923 -0.717 1.966
Pr 3.141 4.624 6.836
O -0.966 0.852 1.468
O 5.030 3.055 7.334
```

Calculated values
crystal system = tetragonal
calculated density = 7411 kg/m3
magnetic moment = 0.0 μB/f.u.
calculated volume = 120.69 Å³/cell

b) This record from Alexandria via LeMat-Bulk describes an optimized crystal structure of PrCdO. The functional is GGA-PBE.

Geometry as extended XYZ:
```
6
Lattice="-0.443 -1.167 -3.886 -3.230 -2.264 1.048 -5.011 6.506 -1.381" Properties=species:S:1:pos:R:3 pbc="T T T"
Pr -4.330 0.343 -0.681
Pr -4.353 2.731 -3.538
Cd -7.165 4.024 -1.462
Cd -1.518 -0.949 -2.757
O -5.260 0.680 -2.819
O -3.424 2.395 -1.400
```

Calculated values
crystal system = tetragonal
calculated density = 6449 kg/m3
magnetic moment = 0.0 μB/f.u.
calculated volume = 138.69 Å³/cell

Most stable: b)

a) This record from Alexandria via LeMat-Bulk describes an optimized crystal structure of CdPt3O8. The functional is GGA-PBE.

Geometry as extended XYZ:
```
12
Lattice="-3.790 4.043 -3.301 1.420 -5.803 -2.435 -3.493 0.712 4.882" Properties=species:S:1:pos:R:3 pbc="T T T"
Cd 0.000 0.000 0.000
Pt -1.895 2.021 -1.650
Pt -1.185 -0.880 -2.868
Pt 0.710 -2.901 -1.218
O -3.033 -1.436 1.723
O -2.830 0.388 -2.577
O -3.853 1.501 2.792
O -5.556 3.318 1.309
O -4.919 0.710 0.215
O -0.944 -1.757 -1.069
O -0.307 -4.366 -2.163
O -2.010 -2.549 -3.646
```

Calculated values
crystal system = monoclinic
calculated density = 8031 kg/m3
magnetic moment = 2.1 μB/f.u.
calculated volume = 170.71 Å³/cell

b) This record from Alexandria via LeMat-Bulk describes an optimized crystal structure of CdPt3O8. The functional is GGA-PBE.

Geometry as extended XYZ:
```
12
Lattice="5.710 0.000 0.000 -2.855 4.945 0.000 0.000 0.000 5.713" Properties=species:S:1:pos:R:3 pbc="T T T"
Cd 0.000 0.000 2.857
Pt 2.855 1.648 5.418
Pt 0.000 3.297 0.295
Pt 0.000 0.000 0.000
O 3.829 0.305 0.864
O 1.204 1.477 0.864
O 3.532 3.164 0.864
O -0.974 4.641 4.849
O 1.651 3.468 4.849
O -0.677 1.781 4.849
O 2.855 1.648 3.535
O 0.000 3.297 2.178
```

Calculated values
crystal system = trigonal
calculated density = 8499 kg/m3
magnetic moment = 0.0 μB/f.u.
calculated volume = 161.33 Å³/cell

Most stable: a)

a) This record from Alexandria via LeMat-Bulk describes an optimized crystal structure of CdPt3O. The functional is GGA-PBE.

Geometry as extended XYZ:
```
5
Lattice="-3.415 3.312 1.606 -0.988 -2.935 3.952 3.546 2.372 2.648" Properties=species:S:1:pos:R:3 pbc="T T T"
O -0.429 1.374 4.103
Pt -0.494 -1.468 1.976
Pt 1.773 1.186 1.324
Pt -1.707 1.656 0.803
Cd 0.000 0.000 0.000
```

Calculated values
crystal system = cubic
calculated density = 9360 kg/m3
magnetic moment = 2.2 μB/f.u.
calculated volume = 126.61 Å³/cell

b) This record from Alexandria via LeMat-Bulk describes an optimized crystal structure of CdPt3O. The functional is GGA-PBE.

Geometry as extended XYZ:
```
5
Lattice="-2.785 1.755 2.798 0.750 -3.228 2.772 3.217 2.273 1.776" Properties=species:S:1:pos:R:3 pbc="T T T"
O 0.000 0.000 0.000
Pt 0.375 -1.614 1.386
Pt 1.608 1.136 0.888
Pt -1.392 0.878 1.399
Cd 0.591 0.400 3.673
```

Calculated values
crystal system = cubic
calculated density = 14696 kg/m3
magnetic moment = 0.0 μB/f.u.
calculated volume = 80.64 Å³/cell

Most stable: b)